(1)
Sr2Zn2Cd3: optimized geometry, PBE.

Summary:
The space group is Cmmm (65). The value obtained for the energy above the lowest structure with this stoichiometry is 0.071 eV/atom. The density of states at the Fermi level comes out at 4.50 states/eV/cell. For the magnetization, the calculation gives 0.000 μB per atom. For the calculated formation energy, the calculation gives -1.22 eV/f.u.

Geometry as POSCAR:
```
Sr2Zn2Cd3
1.0
2.216 -10.816 0.000
2.216 10.816 0.000
0.000 0.000 4.018
Sr Zn Cd
2 2 3
Direct
0.158 0.842 0.000
0.842 0.158 0.000
0.280 0.720 0.500
0.720 0.280 0.500
0.000 0.000 0.000
0.431 0.569 0.500
0.569 0.431 0.500
```



(2)
Sr2Zn2Cd: optimized geometry, PBE.

Summary:
The space group is P4/mbm (127). The value obtained for the energy above the lowest structure with this stoichiometry is 0.236 eV/atom. The density of states at the Fermi level comes out at 8.29 states/eV/cell. For the magnetization, the calculation gives 0.000 μB per atom. For the calculated formation energy, the calculation gives -0.06 eV/f.u.

Geometry as POSCAR:
```
Sr2Zn2Cd
1.0
9.107 0.000 0.000
0.000 9.107 0.000
0.000 0.000 3.937
Sr Zn Cd
4 4 2
Direct
0.182 0.318 0.000
0.318 0.818 0.000
0.682 0.182 0.000
0.818 0.682 0.000
0.103 0.603 0.500
0.397 0.103 0.500
0.603 0.897 0.500
0.897 0.397 0.500
0.000 0.000 0.000
0.500 0.500 0.000
```



(3)
Sr2ZnCd7: optimized geometry, PBE.

Summary:
The space group is P-4m2 (115). The density of states at the Fermi level comes out at 3.33 states/eV/cell. For the magnetization, the calculation gives 0.000 μB per atom. For the calculated formation energy, the calculation gives -2.32 eV/f.u.

Geometry as POSCAR:
```
Sr2ZnCd7
1.0
4.577 0.000 0.000
0.000 4.577 0.000
0.000 0.000 12.774
Sr Zn Cd
2 1 7
Direct
0.000 0.500 0.245
0.500 0.000 0.755
0.500 0.500 0.000
0.000 0.000 0.000
0.000 0.000 0.500
0.000 0.500 0.645
0.000 0.500 0.865
0.500 0.000 0.135
0.500 0.000 0.355
0.500 0.500 0.500
```



(4)
Sr2Zn2Cd: optimized geometry, PBE.

Summary:
The space group is P4/mbm (127). The value obtained for the energy above the lowest structure with this stoichiometry is 0.036 eV/atom. The density of states at the Fermi level comes out at 9.15 states/eV/cell. For the magnetization, the calculation gives 0.000 μB per atom. For the calculated formation energy, the calculation gives -1.06 eV/f.u.

Geometry as POSCAR:
```
Sr2Zn2Cd
1.0
8.053 0.000 0.000
0.000 8.053 0.000
0.000 0.000 4.497
Sr Zn Cd
4 4 2
Direct
0.185 0.315 0.000
0.315 0.815 0.000
0.685 0.185 0.000
0.815 0.685 0.000
0.113 0.613 0.500
0.387 0.113 0.500
0.613 0.887 0.500
0.887 0.387 0.500
0.000 0.000 0.500
0.500 0.500 0.500
```



(5)
SrZn2Cd2: optimized geometry, PBE.

Summary:
The space group is I4/mmm (139). The value obtained for the energy above the lowest structure with this stoichiometry is 0.000 eV/atom. The density of states at the Fermi level comes out at 2.89 states/eV/cell. For the magnetization, the calculation gives 0.000 μB per atom. For the calculated formation energy, the calculation gives -1.19 eV/f.u.

Geometry as POSCAR:
```
SrZn2Cd2
1.0
-2.253 2.253 5.884
2.253 -2.253 5.884
2.253 2.253 -5.884
Sr Zn Cd
1 2 2
Direct
0.000 0.000 0.000
0.393 0.393 0.000
0.607 0.607 0.000
0.250 0.750 0.500
0.750 0.250 0.500
```



(6)
SrZn2Cd2: optimized geometry, PBE.

Summary:
The space group is P-1 (2). The value obtained for the energy above the lowest structure with this stoichiometry is 0.048 eV/atom. The density of states at the Fermi level comes out at 4.93 states/eV/cell. For the magnetization, the calculation gives 0.000 μB per atom. For the calculated formation energy, the calculation gives -0.95 eV/f.u.

Geometry as POSCAR:
```
SrZn2Cd2
1.0
6.160 0.000 0.000
3.073 6.144 0.000
3.066 -1.388 6.547
Sr Zn Cd
2 4 4
Direct
0.135 0.249 0.251
0.865 0.751 0.749
0.236 0.826 0.946
0.493 0.324 0.450
0.507 0.676 0.550
0.764 0.174 0.054
0.213 0.153 0.718
0.416 0.649 0.215
0.584 0.351 0.785
0.787 0.847 0.282
```